A relaxed LiFeCl6 crystal, computed with GGA-PBE.

Cell lengths 6.153, 6.153, 6.494 Å; angles 61.70, 61.71, 59.98 degrees
Site moments in Bohr magnetons follow the coordinates.
Atoms (fractional coordinates):
Cl: 0.381 0.782 0.763  0.08
Cl: 0.926 0.619 0.237  0.08
Cl: 0.619 0.218 0.237  0.08
Cl: 0.074 0.381 0.763  0.08
Cl: 0.218 0.926 0.237  0.08
Cl: 0.782 0.074 0.763  0.08
Li: 0.500 0.500 0.500  0.00
Fe: 0.000 0.000 0.000  2.36

**Space group**: R-3
**Energy relative to the elements, uncorrected**: -0.694 eV/atom
**Total magnetic moment**: 3.1 μB per formula unit
**Polymorph energy (0 for the lowest one)**: 16 meV per atom


A relaxed K3InBr8 crystal, computed with GGA-PBE.

Cell lengths 7.396, 7.396, 9.451 Å; angles 113.03, 113.03, 90.00 degrees
Atoms (fractional coordinates):
Br: 0.885 0.338 0.223
Br: 0.338 0.885 0.223
Br: 0.115 0.662 0.777
Br: 0.662 0.115 0.777
Br: 0.338 0.338 0.223
Br: 0.885 0.885 0.223
Br: 0.115 0.115 0.777
Br: 0.662 0.662 0.777
K: 0.250 0.750 0.500
K: 0.500 0.500 0.000
K: 0.750 0.250 0.500
In: 0.000 0.000 0.000

**Space group**: I4/mmm
**Energy relative to the elements, uncorrected**: -0.903 eV/atom
**Total magnetic moment**: 0.0 μB per formula unit


A relaxed BaSrW2 crystal, computed with GGA-PBE.

Cell lengths 6.307, 6.307, 6.307 Å; angles 141.62, 141.62, 55.40 degrees
Atoms (fractional coordinates):
W: 0.500 0.500 0.000
W: 0.000 0.000 0.000
Ba: 0.250 0.750 0.500
Sr: 0.750 0.250 0.500

**Energy relative to the elements**: 1556 meV per atom
**Space group**: I4/mmm
**Total magnetic moment**: 0.0 μB per formula unit
**Polymorph energy (0 for the lowest one)**: 830 meV per atom


A relaxed Na3Li12Hg crystal, computed with GGA-PBE.

Cell lengths 4.621, 4.621, 16.733 Å; angles 90.00, 90.00, 90.00 degrees
Atoms (fractional coordinates):
Li: 0.000 0.500 0.634
Li: 0.500 0.000 0.634
Li: 0.500 0.000 0.900
Li: 0.500 0.500 0.763
Li: 0.500 0.000 0.366
Li: 0.500 0.500 0.000
Li: 0.500 0.000 0.100
Li: 0.500 0.500 0.237
Li: 0.500 0.500 0.500
Li: 0.000 0.500 0.100
Li: 0.000 0.500 0.366
Li: 0.000 0.500 0.900
Hg: 0.000 0.000 0.000
Na: 0.000 0.000 0.770
Na: 0.000 0.000 0.500
Na: 0.000 0.000 0.230

**Energy relative to the elements**: -31 meV per atom
**Space group**: P4/mmm
**Total magnetic moment**: 0.0 μB per formula unit


A relaxed CdFeRhI2 crystal, computed with GGA-PBE.

Cell lengths 5.214, 5.063, 5.214 Å; angles 90.00, 90.00, 90.00 degrees
Site moments in Bohr magnetons follow the coordinates.
Atoms (fractional coordinates):
Rh: 0.500 0.500 0.500  1.11
I: 0.000 0.000 0.500  0.11
I: 0.500 0.000 0.000  0.11
Cd: 0.000 0.500 0.000  0.01
Fe: 0.000 0.000 0.000  2.40

**Space group**: P4/mmm
**Energy relative to the elements, uncorrected**: 0.956 eV/atom
**Total magnetic moment**: 3.9 μB per formula unit


A relaxed Co2AgHPt crystal, computed with GGA-PBE.

Cell lengths 3.818, 3.818, 3.975 Å; angles 90.00, 90.00, 90.00 degrees
Site moments in Bohr magnetons follow the coordinates.
Atoms (fractional coordinates):
Pt: 0.500 0.500 0.500  0.28
H: 0.000 0.000 0.000  -0.02
Ag: 0.000 0.000 0.500  0.03
Co: 0.000 0.500 0.000  1.63
Co: 0.500 0.000 0.000  1.63

**Space group**: P4/mmm
**Total magnetic moment**: 3.5 μB per formula unit
**Polymorph energy (0 for the lowest one)**: 75 meV per atom


A relaxed CaH7Pd2 crystal, computed with GGA-PBE.

Cell lengths 3.563, 5.541, 5.541 Å; angles 126.79, 90.00, 90.00 degrees
Atoms (fractional coordinates):
H: 0.500 0.301 0.012
H: 0.500 0.012 0.301
H: 0.500 0.988 0.699
H: 0.500 0.699 0.988
H: 0.000 0.344 0.656
H: 0.500 0.500 0.500
H: 0.000 0.656 0.344
Pd: 0.500 0.326 0.674
Pd: 0.500 0.674 0.326
Ca: 0.000 0.000 0.000

**Space group**: Cmmm
**Total magnetic moment**: 0.0 μB per formula unit


A relaxed LiEuThOs crystal, computed with GGA-PBE.

Cell lengths 5.043, 5.043, 5.043 Å; angles 60.00, 60.00, 60.00 degrees
Site moments in Bohr magnetons follow the coordinates.
Atoms (fractional coordinates):
Eu: 0.250 0.250 0.250  6.74
Li: 0.000 0.000 0.000  0.02
Th: 0.750 0.750 0.750  0.05
Os: 0.500 0.500 0.500  -0.15

**Energy relative to the elements**: -7 meV per atom
**Space group**: F-43m
**Total magnetic moment**: 6.9 μB per formula unit


A relaxed BeNi crystal, computed with GGA-PBE.

Cell lengths 4.250, 4.250, 3.793 Å; angles 72.48, 72.48, 34.08 degrees
Atoms (fractional coordinates):
Be: 0.005 0.005 0.964
Be: 0.745 0.745 0.619
Ni: 0.490 0.490 0.474
Ni: 0.260 0.260 0.109

**Energy relative to the elements**: -355 meV per atom
**Space group**: C2/m
**Total magnetic moment**: 0.0 μB per formula unit


A relaxed ZnCoRu2 crystal, computed with GGA-PBE.

Cell lengths 4.559, 4.559, 4.612 Å; angles 79.65, 79.65, 34.00 degrees
Atoms (fractional coordinates):
Ru: 0.511 0.511 0.488
Ru: 0.989 0.989 0.012
Co: 0.250 0.250 0.250
Zn: 0.750 0.750 0.750

**Energy relative to the elements**: 154 meV per atom
**Space group**: C2/m
**Total magnetic moment**: 0.0 μB per formula unit


A relaxed BeAl2Hg crystal, computed with GGA-PBE.

Cell lengths 6.304, 6.304, 6.304 Å; angles 153.99, 140.74, 47.70 degrees
Atoms (fractional coordinates):
Al: 0.944 0.944 0.000
Al: 0.556 0.556 0.000
Be: 0.750 0.250 0.500
Hg: 0.250 0.750 0.500

**Energy relative to the elements**: 273 meV per atom
**Space group**: Immm
**Total magnetic moment**: 0.0 μB per formula unit
**Polymorph energy (0 for the lowest one)**: 9 meV per atom


A relaxed Zn2InTc crystal, computed with GGA-PBE.

Cell lengths 4.938, 4.938, 2.884 Å; angles 90.00, 90.00, 111.39 degrees
Site moments in Bohr magnetons follow the coordinates.
Atoms (fractional coordinates):
Tc: 0.000 0.500 0.500  0.36
Zn: 0.000 0.000 0.000  0.00
Zn: 0.500 0.500 0.000  0.00
In: 0.500 0.000 0.500  0.01

**Energy relative to the elements**: 232 meV per atom
**Space group**: Cmmm
**Total magnetic moment**: 0.4 μB per formula unit


Density
In order: 2568; 3360; 10252; 1640; 6333; 12088; 4928; 10644; 6171; 10296; 6317; 8716
Unit: kg/m³
Electronic total energy
In order: -27.0; -30.2; -23.3; -27.7; -15.0; -25.1; -37.5; -30.9; -20.4; -26.3; -10.4; -14.7
Unit: eV per cell